The following is a DFT calculation (PBE) of crystalline LaSc2 at its relaxed geometry.

extended XYZ file:
```
9
Lattice="3.761 -6.514 0.000 3.761 6.514 0.000 0.000 0.000 5.196" Properties=species:S:1:pos:R:3 pbc="T T T"
La 3.761 2.171 0.000
La 0.000 0.000 2.598
La 3.761 -2.171 0.000
Sc 3.442 0.000 2.598
Sc 0.871 1.508 0.000
Sc 2.040 -3.533 2.598
Sc 0.871 -1.508 0.000
Sc 5.780 0.000 0.000
Sc 2.040 3.533 2.598
```

Calculated values
DOS at the Fermi energy: 11.1 states/eV/cell
size of the total moment: 0.00 μB per formula unit
E above lowest polymorph: 212 meV per atom
crystal system: hexagonal
theoretical density: 4.5 Mg/m³
energy of formation from the pure elements: 0.273 eV per atom